1.
{"formula": "CsAgBiBr5", "functional": "PBE", "state": "optimized geometry", "lattice_angstrom": [[4.811, -6.703, 0.000], [4.811, 6.703, 0.000], [-3.984, 0.000, 10.137]], "species": ["Cs", "Cs", "Ag", "Ag", "Bi", "Bi", "Br", "Br", "Br", "Br", "Br", "Br", "Br", "Br", "Br", "Br"], "frac_coords": [[0.151, 0.849, 0.750], [0.849, 0.151, 0.250], [0.191, 0.809, 0.250], [0.809, 0.191, 0.750], [0.500, 0.500, 0.000], [0.500, 0.500, 0.500], [0.128, 0.261, 0.935], [0.199, 0.598, 0.409], [0.261, 0.128, 0.435], [0.402, 0.801, 0.091], [0.426, 0.574, 0.750], [0.574, 0.426, 0.250], [0.598, 0.199, 0.909], [0.739, 0.872, 0.565], [0.801, 0.402, 0.591], [0.872, 0.739, 0.065]], "formation_energy_uncorrected_kj_per_mol_atoms": -88.85, "magnetic_moment_mub_per_fu": 0.00, "energy_ev_per_atom": -2.915, "n_ef_per_ev_cell": 0.00}

2.
{"formula": "ZrScCu2", "functional": "PBE", "state": "optimized geometry", "lattice_angstrom": [[8.585, 0.000, 0.000], [0.000, 2.908, 0.000], [-0.945, 0.000, 5.844]], "species": ["Zr", "Zr", "Sc", "Sc", "Cu", "Cu", "Cu", "Cu"], "frac_coords": [[0.000, 0.000, 0.000], [0.500, 0.500, 0.000], [0.000, 0.500, 0.500], [0.500, 0.000, 0.500], [0.250, 0.000, 0.732], [0.250, 0.500, 0.268], [0.750, 0.000, 0.268], [0.750, 0.500, 0.732]], "delta_e_f_ev_per_atom": 0.100, "e_above_lowest_polymorph_ev_per_fu": 1.125, "magnetic_moment_mub_per_fu": 0.00, "energy_ev_per_atom": -5.668, "n_ef_per_ev_cell": 7.23}

3.
{"formula": "Ho7Tl5In", "functional": "PBE", "state": "optimized geometry", "lattice_angstrom": [[-3.306, 5.345, 5.319], [3.306, -5.345, 5.319], [3.306, 5.345, -5.319]], "species": ["Ho", "Ho", "Ho", "Ho", "Ho", "Ho", "Ho", "Tl", "Tl", "Tl", "Tl", "Tl", "In"], "frac_coords": [[0.000, 0.000, 0.000], [0.298, 0.620, 0.678], [0.350, 0.350, 0.000], [0.426, 0.103, 0.324], [0.779, 0.103, 0.676], [0.851, 0.351, 0.500], [0.943, 0.620, 0.322], [0.099, 0.108, 0.481], [0.099, 0.618, 0.991], [0.360, 0.860, 0.500], [0.627, 0.108, 0.009], [0.627, 0.618, 0.519], [0.658, 0.658, 0.000]], "delta_e_f_ev_per_atom": -0.141, "magnetic_moment_mub_per_fu": 0.00, "energy_ev_per_atom": -3.727, "n_ef_per_ev_cell": 13.10}

4.
{"formula": "LaZn4Cl", "functional": "PBE", "state": "optimized geometry", "lattice_angstrom": [[0.000, 3.985, 3.985], [3.985, 0.000, 3.985], [3.985, 3.985, 0.000]], "species": ["La", "Zn", "Zn", "Zn", "Zn", "Cl"], "frac_coords": [[0.000, 0.000, 0.000], [0.125, 0.625, 0.625], [0.625, 0.125, 0.625], [0.625, 0.625, 0.125], [0.625, 0.625, 0.625], [0.250, 0.250, 0.250]], "formation_energy_uncorrected_kj_per_mol_atoms": -20.83, "magnetic_moment_mub_per_fu": 0.00, "energy_ev_per_atom": -2.194, "n_ef_per_ev_cell": 4.67}

5.
{"formula": "Zr3H12Pd5", "functional": "PBE", "state": "optimized geometry", "lattice_angstrom": [[-5.717, 5.717, 5.717], [5.717, -5.717, 5.717], [5.717, 5.717, -5.717]], "species": ["Zr", "Zr", "Zr", "Zr", "Zr", "Zr", "Zr", "Zr", "Zr", "Zr", "Zr", "Zr", "H", "H", "H", "H", "H", "H", "H", "H", "H", "H", "H", "H", "H", "H", "H", "H", "H", "H", "H", "H", "H", "H", "H", "H", "H", "H", "H", "H", "H", "H", "H", "H", "H", "H", "H", "H", "H", "H", "H", "H", "H", "H", "H", "H", "H", "H", "H", "H", "Pd", "Pd", "Pd", "Pd", "Pd", "Pd", "Pd", "Pd", "Pd", "Pd", "Pd", "Pd", "Pd", "Pd", "Pd", "Pd", "Pd", "Pd", "Pd", "Pd"], "frac_coords": [[0.125, 0.250, 0.375], [0.125, 0.375, 0.750], [0.250, 0.375, 0.125], [0.250, 0.875, 0.625], [0.375, 0.125, 0.250], [0.375, 0.750, 0.125], [0.625, 0.250, 0.875], [0.625, 0.875, 0.750], [0.750, 0.125, 0.375], [0.750, 0.625, 0.875], [0.875, 0.625, 0.250], [0.875, 0.750, 0.625], [0.045, 0.216, 0.135], [0.045, 0.329, 0.911], [0.081, 0.716, 0.671], [0.081, 0.865, 0.411], [0.089, 0.635, 0.419], [0.089, 0.955, 0.671], [0.135, 0.045, 0.216], [0.135, 0.589, 0.919], [0.171, 0.216, 0.581], [0.171, 0.455, 0.589], [0.216, 0.135, 0.045], [0.216, 0.581, 0.171], [0.284, 0.329, 0.919], [0.284, 0.455, 0.365], [0.329, 0.911, 0.045], [0.329, 0.919, 0.284], [0.365, 0.284, 0.455], [0.365, 0.581, 0.911], [0.411, 0.081, 0.865], [0.411, 0.829, 0.545], [0.419, 0.089, 0.635], [0.419, 0.829, 0.784], [0.455, 0.365, 0.284], [0.455, 0.589, 0.171], [0.545, 0.411, 0.829], [0.545, 0.635, 0.716], [0.581, 0.171, 0.216], [0.581, 0.911, 0.365], [0.589, 0.171, 0.455], [0.589, 0.919, 0.135], [0.635, 0.419, 0.089], [0.635, 0.716, 0.545], [0.671, 0.081, 0.716], [0.671, 0.089, 0.955], [0.716, 0.545, 0.635], [0.716, 0.671, 0.081], [0.784, 0.419, 0.829], [0.784, 0.865, 0.955], [0.829, 0.545, 0.411], [0.829, 0.784, 0.419], [0.865, 0.411, 0.081], [0.865, 0.955, 0.784], [0.911, 0.045, 0.329], [0.911, 0.365, 0.581], [0.919, 0.135, 0.589], [0.919, 0.284, 0.329], [0.955, 0.671, 0.089], [0.955, 0.784, 0.865], [0.000, 0.000, 0.000], [0.000, 0.000, 0.500], [0.000, 0.500, 0.000], [0.000, 0.500, 0.500], [0.125, 0.750, 0.875], [0.125, 0.875, 0.250], [0.250, 0.125, 0.875], [0.250, 0.625, 0.375], [0.375, 0.250, 0.625], [0.375, 0.625, 0.750], [0.500, 0.000, 0.000], [0.500, 0.000, 0.500], [0.500, 0.500, 0.000], [0.500, 0.500, 0.500], [0.625, 0.375, 0.250], [0.625, 0.750, 0.375], [0.750, 0.375, 0.625], [0.750, 0.875, 0.125], [0.875, 0.125, 0.750], [0.875, 0.250, 0.125]], "magnetic_moment_mub_per_fu": 0.00, "energy_ev_per_atom": -4.842, "n_ef_per_ev_cell": 39.32}

6.
{"formula": "Ce3MnAl", "functional": "PBE", "state": "optimized geometry", "lattice_angstrom": [[6.636, 0.000, 0.000], [0.000, 6.397, 0.000], [-0.521, 0.000, 10.897]], "species": ["Ce", "Ce", "Ce", "Ce", "Ce", "Ce", "Ce", "Ce", "Ce", "Ce", "Ce", "Ce", "Mn", "Mn", "Mn", "Mn", "Al", "Al", "Al", "Al"], "frac_coords": [[0.117, 0.247, 0.048], [0.117, 0.753, 0.548], [0.309, 0.467, 0.294], [0.309, 0.533, 0.794], [0.381, 0.215, 0.567], [0.381, 0.785, 0.067], [0.619, 0.215, 0.933], [0.619, 0.785, 0.433], [0.691, 0.467, 0.206], [0.691, 0.533, 0.706], [0.883, 0.247, 0.452], [0.883, 0.753, 0.952], [0.071, 0.269, 0.632], [0.071, 0.731, 0.132], [0.929, 0.269, 0.868], [0.929, 0.731, 0.368], [0.203, 0.010, 0.803], [0.203, 0.990, 0.303], [0.797, 0.010, 0.697], [0.797, 0.990, 0.197]], "delta_e_f_ev_per_atom": -0.042, "e_above_lowest_polymorph_ev_per_fu": 0.042, "magnetic_moment_mub_per_fu": 0.58, "energy_ev_per_atom": -6.185, "n_ef_per_ev_cell": 40.45}

7.
{"formula": "CrAg2Os", "functional": "PBE", "state": "optimized geometry", "lattice_angstrom": [[9.758, 0.000, 0.000], [0.000, 2.798, 0.000], [-0.787, 0.000, 4.646]], "species": ["Cr", "Cr", "Ag", "Ag", "Ag", "Ag", "Os", "Os"], "frac_coords": [[0.000, 0.000, 0.000], [0.500, 0.500, 0.000], [0.248, 0.000, 0.749], [0.252, 0.500, 0.251], [0.748, 0.500, 0.749], [0.752, 0.000, 0.251], [0.000, 0.500, 0.500], [0.500, 0.000, 0.500]], "delta_e_f_ev_per_atom": 0.607, "e_above_lowest_polymorph_ev_per_fu": 1.170, "magnetic_moment_mub_per_fu": 2.75, "energy_ev_per_atom": -6.032, "n_ef_per_ev_cell": 7.77}

8.
{"formula": "Cs2Ge", "functional": "PBE", "state": "optimized geometry", "lattice_angstrom": [[4.324, 0.000, 0.000], [0.103, 9.919, 0.000], [1.177, 3.080, 9.813]], "species": ["Cs", "Cs", "Cs", "Cs", "Ge", "Ge"], "frac_coords": [[0.182, 0.210, 0.274], [0.312, 0.294, 0.790], [0.688, 0.706, 0.210], [0.818, 0.790, 0.726], [0.250, 0.571, 0.994], [0.750, 0.429, 0.006]], "delta_e_f_ev_per_atom": -0.055, "magnetic_moment_mub_per_fu": 0.00, "energy_ev_per_atom": -2.163, "n_ef_per_ev_cell": 4.75}

9.
{"formula": "Co3Ni7Rh", "functional": "PBE", "state": "optimized geometry", "lattice_angstrom": [[4.922, 0.000, 0.000], [0.000, 3.955, 0.000], [-2.456, 0.000, 6.676]], "species": ["Co", "Co", "Co", "Ni", "Ni", "Ni", "Ni", "Ni", "Ni", "Ni", "Rh"], "frac_coords": [[0.000, 0.000, 0.000], [0.236, 0.500, 0.467], [0.727, 0.500, 0.451], [0.136, 0.500, 0.773], [0.313, 0.500, 0.131], [0.417, 0.000, 0.333], [0.642, 0.500, 0.775], [0.818, 0.500, 0.133], [0.826, 0.000, 0.650], [0.923, 0.000, 0.335], [0.477, 0.000, 0.954]], "delta_e_f_ev_per_atom": 0.144, "e_above_lowest_polymorph_ev_per_fu": 0.000, "magnetic_moment_mub_per_fu": 10.93, "energy_ev_per_atom": -6.141, "n_ef_per_ev_cell": 10.99}

10.
{"formula": "NaThP2S8", "functional": "PBE", "state": "optimized geometry", "lattice_angstrom": [[3.066, 1.770, 9.192], [-3.066, 1.770, 9.192], [0.000, -3.541, 9.192]], "species": ["Na", "Th", "P", "P", "S", "S", "S", "S", "S", "S", "S", "S"], "frac_coords": [[0.000, 0.000, 0.000], [0.500, 0.500, 0.500], [0.251, 0.251, 0.251], [0.749, 0.749, 0.749], [0.072, 0.809, 0.435], [0.191, 0.565, 0.928], [0.324, 0.324, 0.324], [0.435, 0.072, 0.809], [0.565, 0.928, 0.191], [0.676, 0.676, 0.676], [0.809, 0.435, 0.072], [0.928, 0.191, 0.565]], "formation_energy_uncorrected_kj_per_mol_atoms": -59.41, "magnetic_moment_mub_per_fu": 0.98, "energy_ev_per_atom": -4.997, "n_ef_per_ev_cell": 7.40}

11.
{"formula": "Cs2RuO", "functional": "PBE", "state": "optimized geometry", "lattice_angstrom": [[7.304, 0.000, 0.000], [0.000, 7.304, 0.000], [0.000, 0.000, 8.640]], "species": ["Cs", "Cs", "Cs", "Cs", "Cs", "Cs", "Cs", "Cs", "Ru", "Ru", "Ru", "Ru", "O", "O", "O", "O"], "frac_coords": [[0.227, 0.250, 0.125], [0.250, 0.727, 0.375], [0.250, 0.773, 0.875], [0.273, 0.250, 0.625], [0.727, 0.750, 0.625], [0.750, 0.227, 0.875], [0.750, 0.273, 0.375], [0.773, 0.750, 0.125], [0.000, 0.000, 0.500], [0.000, 0.500, 0.750], [0.500, 0.000, 0.250], [0.500, 0.500, 0.000], [0.000, 0.000, 0.000], [0.000, 0.500, 0.250], [0.500, 0.000, 0.750], [0.500, 0.500, 0.500]], "formation_energy_uncorrected_kj_per_mol_atoms": 84.23, "e_above_lowest_polymorph_ev_per_fu": 0.000, "magnetic_moment_mub_per_fu": 2.09, "energy_ev_per_atom": -3.112, "n_ef_per_ev_cell": 14.69}

12.
{"formula": "MnNi2Pt", "functional": "PBE", "state": "optimized geometry", "lattice_angstrom": [[8.652, 0.000, 0.000], [0.000, 2.719, 0.000], [-0.917, 0.000, 4.405]], "species": ["Mn", "Mn", "Ni", "Ni", "Ni", "Ni", "Pt", "Pt"], "frac_coords": [[0.000, 0.000, 0.000], [0.500, 0.500, 0.000], [0.247, 0.500, 0.245], [0.253, 0.000, 0.755], [0.747, 0.000, 0.245], [0.753, 0.500, 0.755], [0.000, 0.500, 0.500], [0.500, 0.000, 0.500]], "delta_e_f_ev_per_atom": -0.115, "magnetic_moment_mub_per_fu": 5.21, "energy_ev_per_atom": -6.808, "n_ef_per_ev_cell": 9.46}